Computed, not measured: an optimized crystal structure of NaScC at the PBE level of DFT.

Relative energy among the computed polymorphs ... 831.7 meV per atom
Space-group type ... No. 74
ΔE_f ... 0.69 eV per atom
V ... 15.9 Å³/atom

Cell lengths 5.5573, 5.7340, 5.9745 Å; angles 90.00, 90.00, 90.00 degrees
Closest atoms and distances in Å follow each position.
Fractional positions:
1 C 0.2500 0.2500 0.2500  2 Na 2.35, 4 Sc 2.49
2 C 0.2500 0.7500 0.7500  2 Na 2.35, 4 Sc 2.49
3 C 0.7500 0.7500 0.7500  2 Na 2.35, 4 Sc 2.49
4 C 0.7500 0.2500 0.2500  2 Na 2.35, 4 Sc 2.49
5 Na 0.5001 0.7500 0.0665  2 C 2.35
6 Na 0.0001 0.7500 0.4335  2 C 2.35
7 Na 0.9999 0.2500 0.5665  2 C 2.35
8 Na 0.4999 0.2500 0.9335  2 C 2.35
9 Sc 0.5000 0.0000 0.5000  4 C 2.49
10 Sc 0.5000 0.5000 0.5000  4 C 2.49
11 Sc 0.0000 0.0000 0.0000  4 C 2.49
12 Sc 0.0000 0.5000 0.0000  4 C 2.49